Entry 1:
A plane-wave DFT calculation with PBE was carried out for a relaxed structure of VZnOs.

Structure (CIF):
```
data_VZnOs
_cell_length_a 4.8745
_cell_length_b 4.8745
_cell_length_c 4.8745
_cell_angle_alpha 142.85
_cell_angle_beta 142.85
_cell_angle_gamma 53.55
_symmetry_space_group_name_H-M 'P 1'
_symmetry_Int_Tables_number 1
loop_
_symmetry_equiv_pos_as_xyz
'x,y,z'
loop_
_atom_site_label
_atom_site_fract_x
_atom_site_fract_y
_atom_site_fract_z
_atom_site_occupancy
V1 0.0000 0.0000 0.0000 1
Zn1 0.3248 0.3248 0.0000 1
Os1 0.6468 0.6468 0.0000 1
```

Computed properties:
Volume in A^3/atom: 14.0
Raw total energy in eV/atom: -7.3060


Entry 2:
A plane-wave DFT calculation with PBE was carried out for a relaxed structure of Ac2AlPt.

Structure (CIF):
```
data_Ac2AlPt
_cell_length_a 3.8372
_cell_length_b 3.8372
_cell_length_c 7.9006
_cell_angle_alpha 90.00
_cell_angle_beta 90.00
_cell_angle_gamma 90.00
_symmetry_space_group_name_H-M 'P 1'
_symmetry_Int_Tables_number 1
loop_
_symmetry_equiv_pos_as_xyz
'x,y,z'
loop_
_atom_site_label
_atom_site_fract_x
_atom_site_fract_y
_atom_site_fract_z
_atom_site_occupancy
Ac1 0.0000 0.0000 0.2313 1
Ac2 0.0000 0.0000 0.7687 1
Al1 0.5000 0.5000 0.5000 1
Pt1 0.5000 0.5000 0.0000 1
```

Computed properties:
Volume in A^3/atom: 29.1
Raw total energy in eV/atom: -5.1144


Entry 3:
A plane-wave DFT calculation with PBE was carried out for a relaxed structure of SrBeRu2.

Structure (CIF):
```
data_SrBeRu2
_cell_length_a 3.9855
_cell_length_b 3.9855
_cell_length_c 4.3097
_cell_angle_alpha 90.00
_cell_angle_beta 90.00
_cell_angle_gamma 90.00
_symmetry_space_group_name_H-M 'P 1'
_symmetry_Int_Tables_number 1
loop_
_symmetry_equiv_pos_as_xyz
'x,y,z'
loop_
_atom_site_label
_atom_site_fract_x
_atom_site_fract_y
_atom_site_fract_z
_atom_site_occupancy
Sr1 0.0000 0.0000 0.0000 1
Be1 0.5000 0.5000 0.0000 1
Ru1 0.0000 0.5000 0.5000 1
Ru2 0.5000 0.0000 0.5000 1
```

Computed properties:
Volume in A^3/atom: 17.1
Raw total energy in eV/atom: -5.1398


Entry 4:
A plane-wave DFT calculation with PBE was carried out for a relaxed structure of Na3TlCd.

Structure (CIF):
```
data_Na3TlCd
_cell_length_a 5.7691
_cell_length_b 5.7691
_cell_length_c 5.7691
_cell_angle_alpha 90.00
_cell_angle_beta 90.00
_cell_angle_gamma 90.00
_symmetry_space_group_name_H-M 'P 1'
_symmetry_Int_Tables_number 1
loop_
_symmetry_equiv_pos_as_xyz
'x,y,z'
loop_
_atom_site_label
_atom_site_fract_x
_atom_site_fract_y
_atom_site_fract_z
_atom_site_occupancy
Na1 0.0000 0.0000 0.5000 1
Na2 0.0000 0.5000 0.0000 1
Na3 0.5000 0.0000 0.0000 1
Tl1 0.5000 0.5000 0.5000 1
Cd1 0.0000 0.0000 0.0000 1
```

Computed properties:
Volume in A^3/atom: 38.4
Raw total energy in eV/atom: -1.2855


Entry 5:
A plane-wave DFT calculation with PBE was carried out for a relaxed structure of LaTl3Si.

Structure (CIF):
```
data_LaTl3Si
_cell_length_a 5.3343
_cell_length_b 5.3343
_cell_length_c 5.3343
_cell_angle_alpha 90.00
_cell_angle_beta 90.00
_cell_angle_gamma 90.00
_symmetry_space_group_name_H-M 'P 1'
_symmetry_Int_Tables_number 1
loop_
_symmetry_equiv_pos_as_xyz
'x,y,z'
loop_
_atom_site_label
_atom_site_fract_x
_atom_site_fract_y
_atom_site_fract_z
_atom_site_occupancy
La1 0.0000 0.0000 0.0000 1
Tl1 0.0000 0.5000 0.5000 1
Tl2 0.5000 0.0000 0.5000 1
Tl3 0.5000 0.5000 0.0000 1
Si1 0.5000 0.5000 0.5000 1
```

Computed properties:
Volume in A^3/atom: 30.4
ΔE_f (raw) in eV per atom: 0.215
Raw total energy in eV/atom: -3.2747


Entry 6:
A plane-wave DFT calculation with PBE was carried out for a relaxed structure of LiThIrRu.

Structure (CIF):
```
data_LiThIrRu
_cell_length_a 4.6580
_cell_length_b 4.6580
_cell_length_c 4.6580
_cell_angle_alpha 60.00
_cell_angle_beta 60.00
_cell_angle_gamma 60.00
_symmetry_space_group_name_H-M 'P 1'
_symmetry_Int_Tables_number 1
loop_
_symmetry_equiv_pos_as_xyz
'x,y,z'
loop_
_atom_site_label
_atom_site_fract_x
_atom_site_fract_y
_atom_site_fract_z
_atom_site_occupancy
Li1 0.0000 0.0000 0.0000 1
Th1 0.5000 0.5000 0.5000 1
Ir1 0.2500 0.2500 0.2500 1
Ru1 0.7500 0.7500 0.7500 1
```

Computed properties:
Volume in A^3/atom: 17.9
Raw total energy in eV/atom: -7.1822